A plane-wave DFT calculation with PBE-GGA was carried out for a geometry-optimized Mg2IrAu structure.

Structure (POSCAR):
```
Mg2IrAu
1.0
0.000 3.237 3.237
3.237 0.000 3.237
3.237 3.237 0.000
Mg Ir Au
2 1 1
direct
0.000 0.000 0.000
0.250 0.250 0.250
0.500 0.500 0.500
0.750 0.750 0.750
```

Calculated values
- space group = F-43m (216)
- magnetization (μB per formula unit) = 0.0
- DFT formation energy (meV/atom) = -228
- V (Å³ per cell) = 67.9

A plane-wave DFT calculation with PBE-GGA was carried out for a geometry-optimized Ni2SbP structure.

Structure (POSCAR):
```
Ni2SbP
1.0
-1.528 1.665 6.111
1.528 -1.665 6.111
1.528 1.665 -6.111
Ni Sb P
2 1 1
direct
0.000 0.000 0.000
0.676 0.176 0.500
0.304 0.804 0.500
0.543 0.543 0.000
```

Calculated values
- space group = Imm2 (44)
- magnetization (μB per formula unit) = 0.0
- formation energy from raw total energies (eV/atom) = -0.131
- V (Å³ per cell) = 62.2

A plane-wave DFT calculation with PBE-GGA was carried out for a geometry-optimized ZnFe2 structure.

Structure (POSCAR):
```
ZnFe2
1.0
1.265 -6.819 0.000
1.265 6.819 0.000
0.000 0.000 4.256
Zn Fe
2 4
direct
0.113 0.887 0.750
0.887 0.113 0.250
0.221 0.779 0.250
0.447 0.553 0.750
0.553 0.447 0.250
0.779 0.221 0.750
```

Calculated values
- space group = Cmcm (63)
- magnetization (μB per formula unit) = 4.6
- DFT formation energy (meV/atom) = 59
- V (Å³ per cell) = 73.4

A plane-wave DFT calculation with PBE-GGA was carried out for a geometry-optimized Re2SiBr structure.

Structure (POSCAR):
```
Re2SiBr
1.0
0.000 3.092 3.092
3.092 0.000 3.092
3.092 3.092 0.000
Re Si Br
2 1 1
direct
0.250 0.250 0.250
0.750 0.750 0.750
0.000 0.000 0.000
0.500 0.500 0.500
```

Calculated values
- space group = Fm-3m (225)
- magnetization (μB per formula unit) = 0.0
- formation energy from raw total energies (eV/atom) = 0.883
- V (Å³ per cell) = 59.1

A plane-wave DFT calculation with PBE-GGA was carried out for a geometry-optimized LiReBr2 structure.

Structure (POSCAR):
```
LiReBr2
1.0
0.000 3.704 3.704
3.704 0.000 3.704
3.704 3.704 0.000
Li Re Br
1 1 2
direct
0.000 0.000 0.000
0.750 0.750 0.750
0.250 0.250 0.250
0.500 0.500 0.500
```

Calculated values
- space group = F-43m (216)
- magnetization (μB per formula unit) = 5.9
- formation energy from raw total energies (eV/atom) = 1.050
- V (Å³ per cell) = 101.6

A plane-wave DFT calculation with PBE-GGA was carried out for a geometry-optimized LaCePd14 structure.

Structure (POSCAR):
```
LaCePd14
1.0
5.878 0.000 0.000
0.000 5.878 0.000
0.000 0.000 7.833
La Ce Pd
1 1 14
direct
0.000 0.000 0.000
0.500 0.500 0.000
0.000 0.000 0.500
0.000 0.500 0.000
0.000 0.500 0.500
0.254 0.254 0.260
0.254 0.254 0.740
0.254 0.746 0.260
0.254 0.746 0.740
0.500 0.000 0.000
0.500 0.000 0.500
0.500 0.500 0.500
0.746 0.254 0.260
0.746 0.254 0.740
0.746 0.746 0.260
0.746 0.746 0.740
```

Calculated values
- space group = P4/mmm (123)
- magnetization (μB per formula unit) = 0.0
- DFT formation energy (meV/atom) = -393
- V (Å³ per cell) = 270.6

Question: Among the records above, which one has the highest magnetization?
Answer: LiReBr2

Question: Which value of magnetization does entry 5 give?
Answer: 5.9 μB per formula unit